Sr2Pr2MnCuO8 | GGA+U | relaxed

Output
Space-group type: C2/m
Distance to the lowest polymorph of the same formula (eV per atom): 0.096
N(E_F) (states/eV per cell): 7.31

Lattice parameters (Å, degrees): 7.293 7.293 15.816 106.64 106.64 29.79
Positions (direct):
Sr 0.138 0.138 0.297
Sr 0.144 0.144 0.766
Sr 0.856 0.856 0.234
Sr 0.862 0.862 0.703
Pr 0.141 0.141 0.530
Pr 0.332 0.332 0.957
Pr 0.668 0.668 0.043
Pr 0.859 0.859 0.470
Mn 0.499 0.499 0.864
Mn 0.501 0.501 0.136
Cu 0.493 0.493 0.377
Cu 0.507 0.507 0.623
O 0.000 0.000 0.385
O 0.000 0.000 0.615
O 0.041 0.041 0.881
O 0.267 0.267 0.084
O 0.324 0.324 0.568
O 0.328 0.328 0.350
O 0.348 0.348 0.812
O 0.484 0.484 0.252
O 0.500 0.500 0.000
O 0.500 0.500 0.500
O 0.516 0.516 0.748
O 0.652 0.652 0.188
O 0.672 0.672 0.650
O 0.676 0.676 0.432
O 0.733 0.733 0.916
O 0.959 0.959 0.119